Below is crystalline CeSmNbN3 at its relaxed geometry, with properties calculated at the PBE-GGA level. Values from VASP.

The structure in Quantum ESPRESSO input format:
```
&SYSTEM
  ibrav = 0, nat = 12, ntyp = 4
/
ATOMIC_SPECIES
Ce 140.12 Ce.upf
Sm 150.36 Sm.upf
Nb 92.91 Nb.upf
N 14.01 N.upf
ATOMIC_POSITIONS angstrom
Ce 1.024 0.854 2.738
Ce 6.324 2.563 5.304
Sm 2.867 2.563 5.312
Sm 4.482 0.854 2.730
Nb 0.897 0.854 7.436
Nb 6.451 2.563 0.606
N 0.975 0.854 5.327
N 1.199 2.563 0.547
N 2.695 2.563 3.055
N 4.653 0.854 4.987
N 6.149 0.854 7.495
N 6.374 2.563 2.715
CELL_PARAMETERS angstrom
7.382 0.000 0.000
0.000 3.417 0.000
-0.034 0.000 8.042
```

Values from the calculation:
* formation energy (no corrections): -1051 meV per atom
* crystal system: monoclinic
* DOS at the Fermi energy: 10.43 states/eV per cell
* M_tot: 0.0 μB/cell